Computed, not measured: crystalline Pa6BS12 at its relaxed geometry at the PBE-GGA level of DFT.

Lattice parameters (Å, degrees): 7.684 7.684 7.684 100.07 100.07 100.07
Element x y z (fractional)
1 Pa 0.127 0.622 0.286
2 Pa 0.286 0.127 0.622
3 Pa 0.378 0.714 0.873
4 Pa 0.622 0.286 0.127
5 Pa 0.714 0.873 0.378
6 Pa 0.873 0.378 0.714
7 B 0.000 0.000 0.000
8 S 0.037 0.704 0.939
9 S 0.061 0.963 0.296
10 S 0.180 0.435 0.574
11 S 0.296 0.061 0.963
12 S 0.426 0.820 0.565
13 S 0.435 0.574 0.180
14 S 0.565 0.426 0.820
15 S 0.574 0.180 0.435
16 S 0.704 0.939 0.037
17 S 0.820 0.565 0.426
18 S 0.939 0.037 0.704
19 S 0.963 0.296 0.061

Properties
Raw total energy = -7.257 eV per atom

Computed, not measured: crystalline CdIr2Ru at its relaxed geometry at the PBE-GGA level of DFT.

Lattice parameters (Å, degrees): 2.792 2.792 8.023 90.00 90.00 90.00
Element x y z (fractional)
1 Cd 0.000 0.000 0.000
2 Ir 0.000 0.000 0.506
3 Ir 0.500 0.500 0.272
4 Ru 0.500 0.500 0.728

Properties
Raw total energy = -6.821 eV per atom
ΔE_f = 61 kJ/mol of formula units

Computed, not measured: crystalline CaAlAs2 at its relaxed geometry at the PBE-GGA level of DFT.

Lattice parameters (Å, degrees): 4.915 4.915 4.915 60.00 60.00 60.00
Element x y z (fractional)
1 Ca 0.000 0.000 0.000
2 Al 0.500 0.500 0.500
3 As 0.250 0.250 0.250
4 As 0.750 0.750 0.750

Properties
Raw total energy = -4.005 eV per atom
E above lowest polymorph = 1.49 eV/f.u.
ΔE_f = -94 kJ/mol of formula units

Computed, not measured: crystalline CdTc2MoRu at its relaxed geometry at the PBE-GGA level of DFT.

Lattice parameters (Å, degrees): 4.582 4.582 5.101 90.00 90.00 90.00
Element x y z (fractional)
1 Cd 0.000 0.000 0.000
2 Tc 0.000 0.500 0.500
3 Tc 0.500 0.000 0.500
4 Mo 0.000 0.000 0.500
5 Ru 0.500 0.500 0.000

Properties
Raw total energy = -6.407 eV per atom
ΔE_f = 938 kJ/mol of formula units